[1]
Computed, not measured: a geometry-optimized MgCd2Sb structure at the PBE-GGA level of DFT.

The structure in extended XYZ format:
```
4
Lattice="3.346 0.000 0.000 0.000 4.272 0.000 -1.523 0.000 6.813" Properties=species:S:1:pos:R:3 pbc="T T T"
Mg 0.000 0.000 0.000
Cd 0.138 2.136 5.042
Cd 1.777 0.000 3.649
Sb 1.677 2.136 1.382
```

Calculated values
**Fermi-level density of states**: 1.35 states/eV per cell
**Space-group type**: Pm
**Mass density**: 6.32 g/cm3
**Raw formation energy**: -0.058 eV/atom



[2]
Computed, not measured: a geometry-optimized MgCd2Sb structure at the PBE-GGA level of DFT.

The structure in extended XYZ format:
```
4
Lattice="-2.274 2.276 4.610 2.274 -2.276 4.610 2.274 2.276 -4.610" Properties=species:S:1:pos:R:3 pbc="T T T"
Mg 0.000 0.000 0.000
Cd 0.000 0.000 4.611
Cd 0.000 2.276 2.308
Sb 2.274 0.000 2.303
```

Calculated values
**Fermi-level density of states**: 1.73 states/eV per cell
**Space-group type**: Imm2
**Mass density**: 6.45 g/cm3
**Raw formation energy**: -0.025 eV/atom



[3]
Computed, not measured: a geometry-optimized MgCdSb2 structure at the PBE-GGA level of DFT.

The structure in extended XYZ format:
```
4
Lattice="4.229 0.000 0.000 0.000 4.229 0.000 0.000 0.000 6.001" Properties=species:S:1:pos:R:3 pbc="T T T"
Mg 0.000 0.000 0.000
Cd 2.114 2.114 3.102
Sb 0.000 0.000 3.005
Sb 2.114 2.114 0.092
```

Calculated values
**Fermi-level density of states**: 3.23 states/eV per cell
**Space-group type**: P4mm
**Mass density**: 5.88 g/cm3
**E above lowest polymorph**: 46 meV per atom
**Raw formation energy**: -0.018 eV/atom



[4]
Computed, not measured: a geometry-optimized MgCd2Sb structure at the PBE-GGA level of DFT.

The structure in extended XYZ format:
```
4
Lattice="2.235 -2.343 0.000 2.235 2.343 0.000 0.000 0.000 9.188" Properties=species:S:1:pos:R:3 pbc="T T T"
Mg 0.000 0.000 0.000
Cd 0.000 0.000 4.320
Cd 2.235 0.000 2.110
Sb 2.235 0.000 6.969
```

Calculated values
**Fermi-level density of states**: 2.07 states/eV per cell
**Space-group type**: Cmm2
**Mass density**: 6.40 g/cm3
**Raw formation energy**: -0.007 eV/atom



[5]
Computed, not measured: a geometry-optimized MgCd2Sb structure at the PBE-GGA level of DFT.

The structure in extended XYZ format:
```
4
Lattice="4.954 -1.672 0.000 4.954 1.672 0.000 -0.822 0.000 5.858" Properties=species:S:1:pos:R:3 pbc="T T T"
Mg 0.000 0.000 0.000
Cd 1.940 0.000 4.370
Cd 4.623 0.000 3.229
Sb 7.147 0.000 1.356
```

Calculated values
**Fermi-level density of states**: 1.48 states/eV per cell
**Space-group type**: Cm
**Mass density**: 6.35 g/cm3
**Raw formation energy**: -0.036 eV/atom



[6]
Computed, not measured: a geometry-optimized Mg14CdSb structure at the PBE-GGA level of DFT.

The structure in extended XYZ format:
```
16
Lattice="10.223 0.000 0.000 0.000 3.264 5.499 0.000 -3.264 5.499" Properties=species:S:1:pos:R:3 pbc="T T T"
Mg 0.000 0.000 10.995
Mg 0.000 -1.632 8.232
Mg 0.000 0.000 5.499
Mg 0.000 1.632 8.232
Mg 2.555 0.000 3.604
Mg 2.589 0.000 9.117
Mg 2.601 -1.650 6.378
Mg 2.601 1.650 6.378
Mg 5.111 -1.629 8.248
Mg 5.111 1.629 8.248
Mg 7.622 -1.650 6.378
Mg 7.622 1.650 6.378
Mg 7.634 0.000 9.117
Mg 7.668 0.000 3.604
Cd 5.111 0.000 10.968
Sb 5.111 0.000 5.460
```

Calculated values
**Fermi-level density of states**: 6.38 states/eV per cell
**Space-group type**: Amm2
**Mass density**: 2.60 g/cm3
**E above lowest polymorph**: 11 meV per atom
**Raw formation energy**: -0.039 eV/atom



[7]
Computed, not measured: a geometry-optimized MgCdSb2 structure at the PBE-GGA level of DFT.

The structure in extended XYZ format:
```
4
Lattice="4.348 0.000 0.000 0.000 4.355 0.000 0.000 0.000 5.385" Properties=species:S:1:pos:R:3 pbc="T T T"
Mg 0.000 0.000 0.000
Cd 0.000 2.178 2.693
Sb 2.174 0.000 2.693
Sb 2.174 2.178 0.000
```

Calculated values
**Fermi-level density of states**: 2.42 states/eV per cell
**Space-group type**: Pmmm
**Mass density**: 6.19 g/cm3
**E above lowest polymorph**: 73 meV per atom
**Raw formation energy**: 0.009 eV/atom



[8]
Computed, not measured: a geometry-optimized MgCd2Sb structure at the PBE-GGA level of DFT.

The structure in extended XYZ format:
```
4
Lattice="3.388 0.000 0.000 0.000 5.752 0.000 -0.084 0.000 5.008" Properties=species:S:1:pos:R:3 pbc="T T T"
Mg 0.000 0.000 0.000
Cd 0.833 2.876 1.239
Cd 2.470 2.876 3.769
Sb 1.652 0.000 2.504
```

Calculated values
**Fermi-level density of states**: 1.01 states/eV per cell
**Space-group type**: P2/m
**Mass density**: 6.31 g/cm3
**Raw formation energy**: -0.036 eV/atom



[9]
Computed, not measured: a geometry-optimized MgCdSb2 structure at the PBE-GGA level of DFT.

The structure in extended XYZ format:
```
4
Lattice="2.238 -2.552 0.000 2.238 2.552 0.000 0.000 0.000 8.916" Properties=species:S:1:pos:R:3 pbc="T T T"
Mg 0.000 0.000 0.000
Cd 0.000 0.000 4.458
Sb 2.238 0.000 2.081
Sb 2.238 0.000 6.835
```

Calculated values
**Fermi-level density of states**: 1.34 states/eV per cell
**Space-group type**: Cmmm
**Mass density**: 6.20 g/cm3
**E above lowest polymorph**: 59 meV per atom
**Raw formation energy**: -0.005 eV/atom



[10]
Computed, not measured: a geometry-optimized MgCd2Sb structure at the PBE-GGA level of DFT.

The structure in extended XYZ format:
```
4
Lattice="3.363 0.000 0.000 0.000 4.515 0.000 0.000 0.000 6.315" Properties=species:S:1:pos:R:3 pbc="T T T"
Mg 0.000 0.000 0.000
Cd 1.681 2.257 1.491
Cd 1.681 2.257 4.824
Sb 0.000 0.000 3.158
```

Calculated values
**Fermi-level density of states**: 1.66 states/eV per cell
**Space-group type**: Pmmm
**Mass density**: 6.42 g/cm3
**Raw formation energy**: -0.006 eV/atom



[11]
Computed, not measured: a geometry-optimized Mg2CdSb structure at the PBE-GGA level of DFT.

The structure in extended XYZ format:
```
4
Lattice="1.723 0.995 9.206 -1.723 0.995 9.206 0.000 -1.990 9.206" Properties=species:S:1:pos:R:3 pbc="T T T"
Mg 0.000 0.000 6.785
Mg 0.000 0.000 20.832
Cd 0.000 0.000 13.809
Sb 0.000 0.000 0.000
```

Calculated values
**Fermi-level density of states**: 1.14 states/eV per cell
**Space-group type**: R-3m
**Mass density**: 4.96 g/cm3
**E above lowest polymorph**: 73 meV per atom
**Raw formation energy**: -0.080 eV/atom



[12]
Computed, not measured: a geometry-optimized Mg2CdSb structure at the PBE-GGA level of DFT.

The structure in extended XYZ format:
```
4
Lattice="2.200 -2.375 0.000 2.200 2.375 0.000 0.000 0.000 9.266" Properties=species:S:1:pos:R:3 pbc="T T T"
Mg 0.000 0.000 0.000
Mg 2.200 0.000 2.257
Cd 0.000 0.000 4.401
Sb 2.200 0.000 7.036
```

Calculated values
**Fermi-level density of states**: 2.23 states/eV per cell
**Space-group type**: Cmm2
**Mass density**: 4.85 g/cm3
**E above lowest polymorph**: 143 meV per atom
**Raw formation energy**: -0.010 eV/atom



Question: Which formula does entry 12 have?
Answer: Mg2CdSb